#1
The following is a GGA-PBE calculation of Hg2TePt2 after structural relaxation, from the Alexandria database.

a b c (Å): 7.3635 7.3635 3.8190
angles (deg): 90.00 90.00 90.00
Last column: nearest neighbours and their distance in Å.
Sites, in units of the cell vectors:
Te 0.0000 0.0000 0.0000  4 Pt 2.84
Pt 0.8589 0.6411 0.0000  6 Hg 2.83-2.92, 2 Te 2.84, 1 Pt 2.94
Hg 0.3419 0.1581 0.5000  6 Pt 2.83-2.92
Pt 0.3589 0.8589 0.0000  6 Hg 2.83-2.92, 2 Te 2.84, 1 Pt 2.94
Hg 0.8419 0.3419 0.5000  6 Pt 2.83-2.92
Te 0.5000 0.5000 0.0000  4 Pt 2.84
Pt 0.6411 0.1411 0.0000  6 Hg 2.83-2.92, 2 Te 2.84, 1 Pt 2.94
Pt 0.1411 0.3589 0.0000  6 Hg 2.83-2.92, 2 Te 2.84, 1 Pt 2.94
Hg 0.1581 0.6581 0.5000  6 Pt 2.83-2.92
Hg 0.6581 0.8419 0.5000  6 Pt 2.83-2.92

Calculated values
- symmetry = P4/mbm, No. 127
- crystal system = tetragonal
- DOS(E_F) (states/eV per cell) = 2.9



#2
The following is a GGA-PBE calculation of Hg2TePt2 after structural relaxation, from the Alexandria database.

a b c (Å): 8.3473 8.3473 2.9969
angles (deg): 90.00 90.00 90.00
Last column: nearest neighbours and their distance in Å.
Sites, in units of the cell vectors:
Pt 0.8754 0.3754 0.5000  6 Hg 2.85-2.90, 3 Pt 2.94-3.00
Hg 0.6696 0.1696 0.0000  6 Pt 2.85-2.90, 2 Hg 3.00, 2 Te 3.10
Pt 0.1246 0.6246 0.5000  6 Hg 2.85-2.90, 3 Pt 2.94-3.00
Pt 0.3754 0.1246 0.5000  6 Hg 2.85-2.90, 3 Pt 2.94-3.00
Te 0.0000 0.0000 0.0000  2 Te 3.00, 4 Hg 3.10
Hg 0.8304 0.6696 0.0000  6 Pt 2.85-2.90, 2 Hg 3.00, 2 Te 3.10
Hg 0.3304 0.8304 0.0000  6 Pt 2.85-2.90, 2 Hg 3.00, 2 Te 3.10
Te 0.5000 0.5000 0.0000  2 Te 3.00, 4 Hg 3.10
Hg 0.1696 0.3304 0.0000  6 Pt 2.85-2.90, 2 Hg 3.00, 2 Te 3.10
Pt 0.6246 0.8754 0.5000  6 Hg 2.85-2.90, 3 Pt 2.94-3.00

Calculated values
- symmetry = P4/mbm, No. 127
- crystal system = tetragonal
- DOS(E_F) (states/eV per cell) = 4.6



Result of the stability comparison: #2 is the least stable of them.



#1
The following is a GGA-PBE calculation of HgTe3Pt2 after structural relaxation, from the Alexandria database.

a b c (Å): 7.9852 7.9852 7.6038
angles (deg): 58.33 58.33 60.00
Last column: nearest neighbours and their distance in Å.
Sites, in units of the cell vectors:
Te 0.7565 0.2613 0.2258  3 Pt 2.67-2.70
Pt 0.0000 0.0000 0.0000  6 Te 2.70
Pt 0.5000 0.0000 0.0000  4 Te 2.67, 2 Hg 2.88
Te 0.2435 0.2435 0.7742  3 Pt 2.67-2.70
Pt 0.5000 0.5000 0.0000  4 Te 2.67, 2 Hg 2.88
Te 0.7387 0.2435 0.7742  3 Pt 2.67-2.70
Te 0.2435 0.7387 0.7742  3 Pt 2.67-2.70
Te 0.2613 0.7565 0.2258  3 Pt 2.67-2.70
Pt 0.0000 0.5000 0.0000  4 Te 2.67, 2 Hg 2.88
Hg 0.2379 0.2379 0.2863  3 Pt 2.88
Te 0.7565 0.7565 0.2258  3 Pt 2.67-2.70
Hg 0.7621 0.7621 0.7137  3 Pt 2.88

Calculated values
- symmetry = R-3m, No. 166
- crystal system = trigonal
- DOS(E_F) (states/eV per cell) = 5.7



#2
The following is a GGA-PBE calculation of HgTe3Pt2 after structural relaxation, from the Alexandria database.

a b c (Å): 5.6070 7.9930 7.9930
angles (deg): 120.00 90.00 90.00
Last column: nearest neighbours and their distance in Å.
Sites, in units of the cell vectors:
Te 0.7575 0.3432 0.1716  3 Pt 2.65-2.74
Te 0.7575 0.8284 0.6568  3 Pt 2.65-2.74
Pt 0.0000 0.5000 0.5000  4 Te 2.65, 2 Hg 2.91
Te 0.2424 0.1716 0.3432  3 Pt 2.65-2.74
Pt 0.0000 0.0000 0.5000  4 Te 2.65, 2 Hg 2.91
Te 0.2424 0.6568 0.8284  3 Pt 2.65-2.74
Te 0.2424 0.1716 0.8284  3 Pt 2.65-2.74
Te 0.7575 0.8284 0.1716  3 Pt 2.65-2.74
Hg 0.6842 0.3333 0.6667  3 Pt 2.91
Pt 0.0000 0.5000 0.0000  4 Te 2.65, 2 Hg 2.91
Pt 0.0000 0.0000 0.0000  6 Te 2.74
Hg 0.3158 0.6667 0.3333  3 Pt 2.91

Calculated values
- symmetry = P-3m1, No. 164
- crystal system = trigonal
- DOS(E_F) (states/eV per cell) = 3.6



Result of the stability comparison: #1 is the least stable of them.



#1
The following is a GGA-PBE calculation of Th4HgPt after structural relaxation, from the Alexandria database.

a b c (Å): 6.6916 7.1474 9.0477
angles (deg): 90.00 57.94 90.00
Last column: nearest neighbours and their distance in Å.
Sites, in units of the cell vectors:
Th 0.4929 0.3494 0.3357  2 Pt 2.92-3.01, 1 Hg 3.20
Hg 0.5000 0.5000 0.0000  6 Th 3.09-3.20
Th 0.0071 0.8494 0.6643  2 Pt 2.92-3.01, 1 Hg 3.20
Th 0.0256 0.3524 0.7925  1 Pt 2.94, 2 Hg 3.09-3.16
Pt 0.5000 0.0000 0.5000  6 Th 2.92-3.01
Hg 0.0000 0.0000 0.0000  6 Th 3.09-3.20
Th 0.9744 0.6476 0.2075  1 Pt 2.94, 2 Hg 3.09-3.16
Th 0.5256 0.1476 0.7925  1 Pt 2.94, 2 Hg 3.09-3.16
Th 0.4744 0.8524 0.2075  1 Pt 2.94, 2 Hg 3.09-3.16
Th 0.5071 0.6506 0.6643  2 Pt 2.92-3.01, 1 Hg 3.20
Pt 0.0000 0.5000 0.5000  6 Th 2.92-3.01
Th 0.9929 0.1506 0.3357  2 Pt 2.92-3.01, 1 Hg 3.20

Calculated values
- symmetry = P2_1/c, No. 14
- crystal system = monoclinic
- DOS(E_F) (states/eV per cell) = 14.1



#2
The following is a GGA-PBE calculation of Th4HgPt after structural relaxation, from the Alexandria database.

a b c (Å): 5.9012 7.5660 7.5660
angles (deg): 90.00 90.00 90.00
Last column: nearest neighbours and their distance in Å.
Sites, in units of the cell vectors:
Th 0.5000 0.1674 0.3517  2 Pt 3.13, 2 Hg 3.30, 1 Th 3.39
Hg 0.7500 0.0000 0.0000  2 Hg 2.95, 8 Th 3.30
Th 0.5000 0.6483 0.1674  2 Pt 3.13, 2 Hg 3.30, 1 Th 3.39
Th 0.5000 0.3517 0.8326  2 Pt 3.13, 2 Hg 3.30, 1 Th 3.39
Th 0.5000 0.8326 0.6483  2 Pt 3.13, 2 Hg 3.30, 1 Th 3.39
Hg 0.2500 0.0000 0.0000  2 Hg 2.95, 8 Th 3.30
Th 0.0000 0.8326 0.3517  2 Pt 3.13, 2 Hg 3.30, 1 Th 3.39
Pt 0.2500 0.5000 0.5000  2 Pt 2.95, 8 Th 3.13
Th 0.0000 0.6483 0.8326  2 Pt 3.13, 2 Hg 3.30, 1 Th 3.39
Pt 0.7500 0.5000 0.5000  2 Pt 2.95, 8 Th 3.13
Th 0.0000 0.1674 0.6483  2 Pt 3.13, 2 Hg 3.30, 1 Th 3.39
Th 0.0000 0.3517 0.1674  2 Pt 3.13, 2 Hg 3.30, 1 Th 3.39

Calculated values
- symmetry = P4/mcc, No. 124
- crystal system = tetragonal
- DOS(E_F) (states/eV per cell) = 14.0



Result of the stability comparison: #1 is the least stable of them.



#1
The following is a GGA-PBE calculation of Th2HgPt after structural relaxation, from the Alexandria database.

a b c (Å): 4.0651 4.0651 8.5000
angles (deg): 90.12 103.75 119.91
Last column: nearest neighbours and their distance in Å.
Sites, in units of the cell vectors:
Hg 0.0000 0.5000 0.5000  6 Th 3.32
Pt 0.0000 0.0000 0.0000  6 Th 2.92
Th 0.5252 0.2623 0.7875  3 Pt 2.92
Th 0.4748 0.7377 0.2124  3 Pt 2.92

Calculated values
- symmetry = C2/m, No. 12
- crystal system = monoclinic
- DOS(E_F) (states/eV per cell) = 5.4



#2
The following is a GGA-PBE calculation of Th2HgPt after structural relaxation, from the Alexandria database.

a b c (Å): 5.2634 5.2634 5.2634
angles (deg): 60.00 60.00 60.00
Last column: nearest neighbours and their distance in Å.
Sites, in units of the cell vectors:
Th 0.7500 0.7500 0.7500  4 Pt 3.22, 4 Hg 3.22
Th 0.2500 0.2500 0.2500  4 Hg 3.22, 4 Pt 3.22
Pt 0.0000 0.0000 0.0000  8 Th 3.22
Hg 0.5000 0.5000 0.5000  8 Th 3.22

Calculated values
- symmetry = Fm-3m, No. 225
- crystal system = cubic
- DOS(E_F) (states/eV per cell) = 4.2



Result of the stability comparison: #2 is the least stable of them.